(1)
Sc2TaCl | PBE | relaxed

Cell and atoms, written as CIF:
```
data_Sc2TaCl
_chemical_formula_sum 'Sc4 Ta2 Cl2'
_cell_length_a 4.0787
_cell_length_b 4.0787
_cell_length_c 9.8518
_cell_angle_alpha 90.00
_cell_angle_beta 90.00
_cell_angle_gamma 90.00
_space_group_name_H-M_alt 'I -4 m 2'
_space_group_IT_number 119
_space_group_name_Hall 'I -4 -2'
loop_
_atom_site_label
_atom_site_fract_x
_atom_site_fract_y
_atom_site_fract_z
_atom_site_occupancy
Sc1 0.0000 0.0000 0.0000 1
Sc2 0.0000 0.5000 0.2500 1
Ta1 0.0000 0.5000 0.7500 1
Cl1 0.0000 0.0000 0.5000 1
```

Values from the calculation:
Total DFT energy (no corrections) in eV per atom: -6.29
Total magnetic moment in μB per cell: 0.076
Formation energy (no corrections) in meV per atom: 299

(2)
Cs2Cd2SeS2 | PBE | relaxed

Cell and atoms, written as CIF:
```
data_Cs2Cd2SeS2
_chemical_formula_sum 'Cs4 Cd4 Se2 S4'
_cell_length_a 15.0742
_cell_length_b 4.3592
_cell_length_c 9.1184
_cell_angle_alpha 90.00
_cell_angle_beta 126.45
_cell_angle_gamma 90.00
_space_group_name_H-M_alt 'C 1 2/m 1'
_space_group_IT_number 12
loop_
_space_group_symop_operation_xyz
'x,y,z'
'-x,-y,-z'
'-x,y,-z'
'x,-y,z'
'x+1/2,y+1/2,z'
'-x+1/2,-y+1/2,-z'
'-x+1/2,y+1/2,-z'
'x+1/2,-y+1/2,z'
loop_
_atom_site_label
_atom_site_fract_x
_atom_site_fract_y
_atom_site_fract_z
_atom_site_occupancy
Cs1 0.0592 0.0000 0.3490 1
Cd1 0.1986 0.5000 0.0769 1
Se1 0.0000 0.5000 0.0000 1
S1 0.1846 0.5000 0.7688 1
```

Values from the calculation:
Total DFT energy (no corrections) in eV per atom: -3.05
Total magnetic moment in μB per cell: 0.000
Formation energy (no corrections) in meV per atom: -865

(3)
Rb3U3SnS8 | PBE | relaxed

Cell and atoms, written as CIF:
```
data_Rb3U3SnS8
_chemical_formula_sum 'Rb9 U9 Sn3 S24'
_cell_length_a 8.2366
_cell_length_b 8.2366
_cell_length_c 23.0548
_cell_angle_alpha 90.00
_cell_angle_beta 90.00
_cell_angle_gamma 120.00
_space_group_name_H-M_alt 'R -3 m'
_space_group_IT_number 166
_space_group_name_Hall '-R 3 2"'
loop_
_atom_site_label
_atom_site_fract_x
_atom_site_fract_y
_atom_site_fract_z
_atom_site_occupancy
Rb1 0.0000 0.5000 0.0000 1
U1 0.0000 0.5000 0.5000 1
Sn1 0.0000 0.0000 0.5000 1
S1 0.0000 0.0000 0.2302 1
S2 0.0171 0.5085 0.7709 1
```

Values from the calculation:
Total DFT energy (no corrections) in eV per atom: -6.19
Total magnetic moment in μB per cell: 21.000
Formation energy (no corrections) in meV per atom: -1267

(4)
NaS2Cl | PBE | relaxed

Cell and atoms, written as CIF:
```
data_NaS2Cl
_chemical_formula_sum 'Na3 S6 Cl3'
_cell_length_a 4.7631
_cell_length_b 4.7631
_cell_length_c 14.8458
_cell_angle_alpha 90.00
_cell_angle_beta 90.00
_cell_angle_gamma 120.00
_space_group_name_H-M_alt 'R -3 m'
_space_group_IT_number 166
_space_group_name_Hall '-R 3 2"'
loop_
_atom_site_label
_atom_site_fract_x
_atom_site_fract_y
_atom_site_fract_z
_atom_site_occupancy
Na1 0.0000 0.0000 0.0000 1
S1 0.0000 0.0000 0.1793 1
Cl1 0.0000 0.0000 0.5000 1
```

Values from the calculation:
Total DFT energy (no corrections) in eV per atom: -2.77
Total magnetic moment in μB per cell: 0.000
Formation energy (no corrections) in meV per atom: 81

(5)
Ca3NbC | PBE | relaxed

Cell and atoms, written as CIF:
```
data_Ca3NbC
_chemical_formula_sum 'Ca3 Nb1 C1'
_cell_length_a 5.1043
_cell_length_b 5.1043
_cell_length_c 5.1043
_cell_angle_alpha 90.00
_cell_angle_beta 90.00
_cell_angle_gamma 90.00
_space_group_name_H-M_alt 'P m -3 m'
_space_group_IT_number 221
_space_group_name_Hall '-P 4 2 3'
loop_
_atom_site_label
_atom_site_fract_x
_atom_site_fract_y
_atom_site_fract_z
_atom_site_occupancy
Ca1 0.0000 0.0000 0.5000 1
Nb1 0.5000 0.5000 0.5000 1
C1 0.0000 0.0000 0.0000 1
```

Values from the calculation:
Total DFT energy (no corrections) in eV per atom: -4.26
Total magnetic moment in μB per cell: 4.648
Energy relative to the elements in meV per atom: 799

(6)
SrAc2Dy | PBE | relaxed

Cell and atoms, written as CIF:
```
data_SrAc2Dy
_chemical_formula_sum 'Sr3 Ac6 Dy3'
_cell_length_a 3.9219
_cell_length_b 3.9219
_cell_length_c 38.5825
_cell_angle_alpha 90.00
_cell_angle_beta 90.00
_cell_angle_gamma 120.00
_space_group_name_H-M_alt 'R 3 m'
_space_group_IT_number 160
_space_group_name_Hall 'R 3 -2"'
loop_
_atom_site_label
_atom_site_fract_x
_atom_site_fract_y
_atom_site_fract_z
_atom_site_occupancy
Sr1 0.0000 0.0000 0.0000 1
Ac1 0.0000 0.0000 0.5768 1
Ac2 0.0000 0.0000 0.7575 1
Dy1 0.0000 0.0000 0.1670 1
```

Values from the calculation:
Total DFT energy (no corrections) in eV per atom: -3.55
Total magnetic moment in μB per cell: 0.000
Energy relative to the elements in meV per atom: 72